Material: PmErZnGa
Method: DFT, GGA-PBE
State: optimized geometry

Results
As for the calculated formation energy: -462 meV per atom. The value obtained for the calculated density is 7919 kg/m³.

abc: 7.213 7.213 7.213
angles: 90.00 90.00 90.00
Space group F-43m (No. 216)
Symmetry-distinct sites (fractional):
Pm 0.000 0.000 0.000 (multiplicity 4)
Er 0.000 0.000 0.500 (multiplicity 4)
Zn 0.250 0.250 0.750 (multiplicity 4)
Ga 0.250 0.250 0.250 (multiplicity 4)

=====

Material: Pr2Er3Ga4
Method: DFT, GGA-PBE
State: optimized geometry

Results
As for the calculated formation energy: -432 meV per atom. The value obtained for the calculated density is 7531 kg/m³. The calculation puts the relative energy among the computed polymorphs at 148 meV per atom.

abc: 6.854 16.105 8.490
angles: 90.00 90.00 90.00
Space group Cmce (No. 64)
Symmetry-distinct sites (fractional):
Pr 0.000 0.106 0.081 (multiplicity 8)
Er 0.000 0.000 0.500 (multiplicity 4)
Er 0.250 0.218 0.750 (multiplicity 8)
Ga 0.000 0.183 0.458 (multiplicity 8)
Ga 0.250 0.038 0.750 (multiplicity 8)

=====

Material: PrEr2Ga4
Method: DFT, GGA-PBE
State: optimized geometry

Results
As for the calculated formation energy: -649 meV per atom. The value obtained for the calculated density is 7662 kg/m³.

abc: 4.160 4.314 18.219
angles: 90.00 90.00 90.00
Space group Immm (No. 71)
Symmetry-distinct sites (fractional):
Pr 0.000 0.000 0.000 (multiplicity 2)
Er 0.000 0.500 0.315 (multiplicity 4)
Ga 0.000 0.000 0.432 (multiplicity 4)
Ga 0.000 0.500 0.149 (multiplicity 4)

=====

Material: Pr2Er3Ga2
Method: DFT, GGA-PBE
State: optimized geometry

Results
As for the calculated formation energy: -307 meV per atom. The value obtained for the calculated density is 7612 kg/m³.

abc: 12.155 4.241 8.511
angles: 90.00 113.38 90.00
Space group C2/m (No. 12)
Symmetry-distinct sites (fractional):
Pr 0.148 0.000 0.307 (multiplicity 4)
Er 0.000 0.500 0.500 (multiplicity 2)
Er 0.125 0.500 0.942 (multiplicity 4)
Ga 0.166 0.000 0.715 (multiplicity 4)

=====

Material: PrEr2Ga2
Method: DFT, GGA-PBE
State: optimized geometry

Results
As for the calculated formation energy: -366 meV per atom. The value obtained for the calculated density is 7542 kg/m³.

abc: 5.365 4.335 11.670
angles: 90.00 94.03 90.00
Space group P2_1/m (No. 11)
Symmetry-distinct sites (fractional):
Pr 0.173 0.250 0.238 (multiplicity 2)
Er 0.244 0.750 0.477 (multiplicity 2)
Er 0.356 0.250 0.889 (multiplicity 2)
Ga 0.138 0.750 0.024 (multiplicity 2)
Ga 0.273 0.250 0.646 (multiplicity 2)

=====

Material: PrEr2Ga9
Method: DFT, GGA-PBE
State: optimized geometry

Results
As for the calculated formation energy: -515 meV per atom. The value obtained for the calculated density is 7658 kg/m³.

abc: 4.307 4.307 12.892
angles: 90.00 90.00 90.00
Space group P4/mmm (No. 123)
Symmetry-distinct sites (fractional):
Pr 0.000 0.000 0.000 (multiplicity 1)
Er 0.000 0.000 0.337 (multiplicity 2)
Ga 0.000 0.500 0.174 (multiplicity 4)
Ga 0.000 0.500 0.500 (multiplicity 2)
Ga 0.500 0.500 0.000 (multiplicity 1)
Ga 0.500 0.500 0.334 (multiplicity 2)

=====

Material: Pr8ErGa6
Method: DFT, GGA-PBE
State: optimized geometry

Results
As for the calculated formation energy: -353 meV per atom. The value obtained for the calculated density is 6503 kg/m³.

abc: 8.9035 8.9035 19.1122
angles: 90.00 90.00 120.00
Space group R-3 (No. 148, hexagonal axes)
Symmetry-distinct sites (fractional):
Pr 0.0000 0.0000 0.1659 (multiplicity 6)
Pr 0.0004 0.3331 0.7199 (multiplicity 18)
Er 0.0000 0.0000 0.5000 (multiplicity 3)
Ga 0.9997 0.3242 0.5547 (multiplicity 18)

=====

Material: PrErGa4
Method: DFT, GGA-PBE
State: optimized geometry

Results
As for the calculated formation energy: -652 meV per atom. The value obtained for the calculated density is 7429 kg/m³. The calculation puts the relative energy among the computed polymorphs at 0 meV per atom.

abc: 4.2439 4.2439 8.4126
angles: 90.00 90.00 120.00
Space group P6/mmm (No. 191)
Symmetry-distinct sites (fractional):
Pr 0.0000 0.0000 0.0000 (multiplicity 1)
Er 0.0000 0.0000 0.5000 (multiplicity 1)
Ga 0.3333 0.6667 0.2614 (multiplicity 4)

=====

Material: Pr2ErGa3
Method: DFT, GGA-PBE
State: optimized geometry

Results
As for the calculated formation energy: -467 meV per atom. The value obtained for the calculated density is 6928 kg/m³.

abc: 4.755 20.976 6.327
angles: 90.00 90.00 90.00
Space group Cmcm (No. 63)
Symmetry-distinct sites (fractional):
Pr 0.000 0.036 0.250 (multiplicity 4)
Pr 0.000 0.150 0.750 (multiplicity 4)
Er 0.000 0.327 0.750 (multiplicity 4)
Ga 0.000 0.252 0.250 (multiplicity 4)
Ga 0.000 0.437 0.049 (multiplicity 8)

=====

Material: Pr4ErGa5
Method: DFT, GGA-PBE
State: optimized geometry

Results
As for the calculated formation energy: -553 meV per atom. The value obtained for the calculated density is 7146 kg/m³.

abc: 3.678 3.678 18.549
angles: 90.00 90.00 90.00
Space group P4/mmm (No. 123)
Symmetry-distinct sites (fractional):
Pr 0.000 0.000 0.102 (multiplicity 2)
Pr 0.000 0.000 0.307 (multiplicity 2)
Er 0.000 0.000 0.500 (multiplicity 1)
Ga 0.500 0.500 0.000 (multiplicity 1)
Ga 0.500 0.500 0.205 (multiplicity 2)
Ga 0.500 0.500 0.413 (multiplicity 2)

=====

Material: Pr4ErGa2
Method: DFT, GGA-PBE
State: optimized geometry

Results
As for the calculated formation energy: -215 meV per atom. The value obtained for the calculated density is 6777 kg/m³.

abc: 7.226 7.341 9.670
angles: 90.39 107.46 117.74
Space group P1 (No. 1)
Symmetry-distinct sites (fractional):
Pr 0.000 0.000 0.000 (multiplicity 1)
Pr 0.022 0.489 0.474 (multiplicity 1)
Pr 0.321 0.941 0.772 (multiplicity 1)
Pr 0.377 0.967 0.360 (multiplicity 1)
Pr 0.420 0.466 0.290 (multiplicity 1)
Pr 0.476 0.510 0.890 (multiplicity 1)
Pr 0.817 0.209 0.720 (multiplicity 1)
Pr 0.917 0.962 0.442 (multiplicity 1)
Er 0.079 0.593 0.007 (multiplicity 1)
Er 0.674 0.166 0.119 (multiplicity 1)
Ga 0.409 0.313 0.584 (multiplicity 1)
Ga 0.529 0.741 0.605 (multiplicity 1)
Ga 0.834 0.645 0.701 (multiplicity 1)
Ga 0.859 0.648 0.194 (multiplicity 1)

=====

Material: PrErGa3
Method: DFT, GGA-PBE
State: optimized geometry

Results
As for the calculated formation energy: -661 meV per atom. The value obtained for the calculated density is 7375 kg/m³.

abc: 4.307 25.678 4.214
angles: 90.00 90.00 90.00
Space group Cmcm (No. 63)
Symmetry-distinct sites (fractional):
Pr 0.000 0.074 0.250 (multiplicity 4)
Er 0.000 0.204 0.750 (multiplicity 4)
Ga 0.000 0.321 0.750 (multiplicity 4)
Ga 0.000 0.378 0.250 (multiplicity 4)
Ga 0.000 0.476 0.250 (multiplicity 4)

=====

Material: Pr4ErGa4
Method: DFT, GGA-PBE
State: optimized geometry

Results
As for the calculated formation energy: -386 meV per atom. The value obtained for the calculated density is 6480 kg/m³.

abc: 10.398 10.398 4.786
angles: 90.00 90.00 90.00
Space group I4/m (No. 87)
Symmetry-distinct sites (fractional):
Pr 0.134 0.352 0.000 (multiplicity 8)
Er 0.000 0.000 0.000 (multiplicity 2)
Ga 0.069 0.165 0.500 (multiplicity 8)

=====

Material: Pr3Er2Ga4
Method: DFT, GGA-PBE
State: optimized geometry

Results
As for the calculated formation energy: -464 meV per atom. The value obtained for the calculated density is 7064 kg/m³.

abc: 11.277 4.472 9.667
angles: 90.00 92.33 90.00
Space group C2/m (No. 12)
Symmetry-distinct sites (fractional):
Pr 0.000 0.000 0.000 (multiplicity 2)
Pr 0.120 0.500 0.380 (multiplicity 4)
Er 0.181 0.500 0.769 (multiplicity 4)
Ga 0.081 0.000 0.607 (multiplicity 4)
Ga 0.200 0.500 0.071 (multiplicity 4)

=====

Material: Pr3ErGa4
Method: DFT, GGA-PBE
State: optimized geometry

Results
As for the calculated formation energy: -423 meV per atom. The value obtained for the calculated density is 6516 kg/m³. The calculation puts the relative energy among the computed polymorphs at 134 meV per atom.

abc: 18.317 3.807 6.845
angles: 90.00 111.90 90.00
Space group C2/m (No. 12)
Symmetry-distinct sites (fractional):
Pr 0.000 0.000 0.000 (multiplicity 2)
Pr 0.202 0.000 0.702 (multiplicity 4)
Er 0.000 0.500 0.500 (multiplicity 2)
Ga 0.127 0.500 0.320 (multiplicity 4)
Ga 0.127 0.500 0.933 (multiplicity 4)

=====

Material: Pr2ErGa
Method: DFT, GGA-PBE
State: optimized geometry

Results
As for the calculated formation energy: -104 meV per atom. The value obtained for the calculated density is 7499 kg/m³. The calculation puts the relative energy among the computed polymorphs at 118 meV per atom.

abc: 7.717 7.717 7.717
angles: 90.00 90.00 90.00
Space group Fm-3m (No. 225)
Symmetry-distinct sites (fractional):
Pr 0.250 0.250 0.250 (multiplicity 8)
Er 0.000 0.000 0.000 (multiplicity 4)
Ga 0.000 0.000 0.500 (multiplicity 4)

=====

Material: PrErGa6
Method: DFT, GGA-PBE
State: optimized geometry

Results
As for the calculated formation energy: -534 meV per atom. The value obtained for the calculated density is 7477 kg/m³.

abc: 6.3590 6.3590 4.6053
angles: 90.00 90.00 120.00
Space group P-6m2 (No. 187)
Symmetry-distinct sites (fractional):
Pr 0.0000 0.0000 0.0000 (multiplicity 1)
Er 0.6667 0.3333 0.5000 (multiplicity 1)
Ga 0.0391 0.5195 0.0000 (multiplicity 3)
Ga 0.1905 0.3810 0.5000 (multiplicity 3)

=====

Material: PrEr3Ga4
Method: DFT, GGA-PBE
State: optimized geometry

Results
As for the calculated formation energy: -561 meV per atom. The value obtained for the calculated density is 8276 kg/m³.

abc: 10.151 7.177 5.076
angles: 90.00 90.00 90.00
Space group Pmma (No. 51)
Symmetry-distinct sites (fractional):
Pr 0.000 0.000 0.000 (multiplicity 2)
Er 0.000 0.500 0.000 (multiplicity 2)
Er 0.250 0.000 0.499 (multiplicity 2)
Er 0.250 0.500 0.499 (multiplicity 2)
Ga 0.000 0.261 0.500 (multiplicity 4)
Ga 0.250 0.261 0.998 (multiplicity 4)

=====

Material: Pr3ErGa3
Method: DFT, GGA-PBE
State: optimized geometry

Results
As for the calculated formation energy: -339 meV per atom. The value obtained for the calculated density is 6610 kg/m³.

abc: 9.494 11.125 7.604
angles: 90.00 90.98 90.00
Space group C2/m (No. 12)
Symmetry-distinct sites (fractional):
Pr 0.000 0.184 0.000 (multiplicity 4)
Pr 0.000 0.251 0.500 (multiplicity 4)
Pr 0.157 0.500 0.853 (multiplicity 4)
Er 0.228 0.500 0.377 (multiplicity 4)
Ga 0.042 0.000 0.307 (multiplicity 4)
Ga 0.246 0.257 0.238 (multiplicity 8)

=====

Material: Pr3ErGa2
Method: DFT, GGA-PBE
State: optimized geometry

Results
As for the calculated formation energy: -353 meV per atom. The value obtained for the calculated density is 7004 kg/m³. The calculation puts the relative energy among the computed polymorphs at 35 meV per atom.

abc: 16.711 5.167 8.093
angles: 90.00 98.16 90.00
Space group C2/m (No. 12)
Symmetry-distinct sites (fractional):
Pr 0.057 0.000 0.320 (multiplicity 4)
Pr 0.121 0.500 0.032 (multiplicity 4)
Pr 0.181 0.500 0.497 (multiplicity 4)
Er 0.165 0.000 0.780 (multiplicity 4)
Ga 0.033 0.500 0.667 (multiplicity 4)
Ga 0.219 0.000 0.164 (multiplicity 4)

=====

Material: PrEr3Ga2
Method: DFT, GGA-PBE
State: optimized geometry

Results
As for the calculated formation energy: -412 meV per atom. The value obtained for the calculated density is 8311 kg/m³. The calculation puts the relative energy among the computed polymorphs at 0 meV per atom.

abc: 4.928 9.565 6.631
angles: 90.00 90.00 90.00
Space group Pmc2_1 (No. 26)
Symmetry-distinct sites (fractional):
Pr 0.000 0.050 0.000 (multiplicity 2)
Er 0.000 0.325 0.622 (multiplicity 2)
Er 0.500 0.191 0.289 (multiplicity 2)
Er 0.500 0.446 0.919 (multiplicity 2)
Ga 0.000 0.366 0.169 (multiplicity 2)
Ga 0.500 0.143 0.740 (multiplicity 2)

=====

Material: PrEr2Ga6
Method: DFT, GGA-PBE
State: optimized geometry

Results
As for the calculated formation energy: -624 meV per atom. The value obtained for the calculated density is 7663 kg/m³. The calculation puts the relative energy among the computed polymorphs at 0 meV per atom.

abc: 7.3214 7.3214 4.1724
angles: 90.00 90.00 120.00
Space group P6/mmm (No. 191)
Symmetry-distinct sites (fractional):
Pr 0.0000 0.0000 0.0000 (multiplicity 1)
Er 0.3333 0.6667 0.0000 (multiplicity 2)
Ga 0.0000 0.3353 0.5000 (multiplicity 6)

=====

Number 1: M_tot 0.00 μB per formula unit. Number 2: M_tot 0.00 μB per formula unit. Number 3: M_tot 0.00 μB per formula unit. Number 4: M_tot 0.28 μB per formula unit. Number 5: M_tot 0.00 μB per formula unit. Number 6: M_tot 0.00 μB per formula unit. Number 7: M_tot 0.00 μB per formula unit. Number 8: M_tot 0.00 μB per formula unit. Number 9: M_tot 0.00 μB per formula unit. Number 10: M_tot 0.00 μB per formula unit. Number 11: M_tot 0.00 μB per formula unit. Number 12: M_tot 0.00 μB per formula unit. Number 13: M_tot 0.00 μB per formula unit. Number 14: M_tot 0.00 μB per formula unit. Number 15: M_tot 0.00 μB per formula unit. Number 16: M_tot 0.01 μB per formula unit. Number 17: M_tot 0.00 μB per formula unit. Number 18: M_tot 0.00 μB per formula unit. Number 19: M_tot 0.00 μB per formula unit. Number 20: M_tot 0.00 μB per formula unit. Number 21: M_tot 0.00 μB per formula unit. Number 22: M_tot 0.00 μB per formula unit.